(1)
4
Lattice="-0.0671 -1.8873 2.4113 -3.4711 -2.2690 -1.8724 3.5738 -3.3715 -2.5394" Properties=species:S:1:pos:R:3 comment="OsPbCl2, PBEsol geometry, DFT meta-GGA SCAN" crystal_system=orthorhombic e_form_raw_mev_per_atom=655 polymorph_energy_ev_per_atom=0.2746 volume_a3_per_cell=77 pbc="T T T"
Pb 0.0513 -2.8203 -2.2059
Os -1.7691 -2.0782 0.2694
Cl 0.0000 0.0000 0.0000
Cl 1.7534 -2.6294 -0.0640

(2)
18
Lattice="6.2102 0.0000 0.0000 0.0000 8.0539 0.0148 0.0000 -0.1754 8.8937" Properties=species:S:1:pos:R:3 comment="PdPb2Cl6, PBEsol geometry, DFT meta-GGA SCAN" crystal_system=monoclinic e_form_raw_mev_per_atom=-1028 volume_a3_per_cell=445 pbc="T T T"
Pd 3.1051 4.0269 0.0074
Pd 0.0000 0.0000 0.0000
Pb 0.3080 2.9144 6.4336
Pb 3.4131 0.9371 2.4675
Pb 5.9022 4.9640 2.4749
Pb 2.7971 6.9414 6.4410
Cl 2.2092 1.2628 4.9857
Cl 5.3143 2.5888 3.9154
Cl 4.0010 6.6157 3.9227
Cl 0.8959 5.2897 4.9931
Cl 1.8873 1.0529 8.4548
Cl 4.9924 2.7986 0.4462
Cl 3.7978 4.1171 6.7298
Cl 0.6927 7.7883 2.1861
Cl 2.4124 3.7614 2.1787
Cl 5.5175 0.0902 6.7224
Cl 1.2178 5.0799 8.4622
Cl 4.3229 6.8256 0.4536

(3)
18
Lattice="3.6908 0.0000 0.0000 0.0000 5.4464 0.0000 0.0000 0.0000 10.8556" Properties=species:S:1:pos:R:3 comment="Sr2Cu2O5, PBEsol geometry, DFT meta-GGA SCAN" crystal_system=orthorhombic e_form_raw_mev_per_atom=-1798 polymorph_energy_ev_per_atom=0.0000 volume_a3_per_cell=218 pbc="T T T"
Sr 1.8454 1.1655 9.3922
Sr 1.8454 4.2810 1.4634
Sr 1.8454 3.8887 6.8912
Sr 1.8454 1.5578 3.9644
Cu 0.0000 1.3203 6.7611
Cu 0.0000 4.1262 4.0945
Cu 0.0000 4.0435 9.5223
Cu 0.0000 1.4029 1.3333
O 0.0000 2.7232 5.4278
O 0.0000 0.0000 0.0000
O 0.0000 5.3553 7.9632
O 0.0000 0.0911 2.8924
O 0.0000 2.6321 8.3202
O 0.0000 2.8143 2.5354
O 1.8454 1.0941 6.4840
O 1.8454 4.3524 4.3716
O 1.8454 1.6292 1.0562
O 1.8454 3.8173 9.7994

(4)
5
Lattice="-1.7203 4.1667 0.5443 -2.8927 -0.7378 -3.4938 -3.1176 -1.6704 2.9340" Properties=species:S:1:pos:R:3 comment="ZnCuIr2Ru, PBEsol geometry, DFT meta-GGA SCAN" crystal_system=tetragonal volume_a3_per_cell=96 formation_energy_ev_per_atom=1.59 pbc="T T T"
Ru 0.0000 0.0000 0.0000
Zn -3.8653 0.8792 -0.0077
Ir -1.5588 -0.8352 1.4670
Ir -1.4463 -0.3689 -1.7469
Cu -0.8601 2.0834 0.2722

(5)
4
Lattice="4.4340 0.0000 0.0000 2.2170 3.8400 0.0000 2.2170 1.2800 5.4418" Properties=species:S:1:pos:R:3 comment="BaCuPt2, PBEsol geometry, DFT meta-GGA SCAN" crystal_system=trigonal polymorph_energy_ev_per_atom=0.0208 volume_a3_per_cell=93 formation_energy_ev_per_atom=-0.55 pbc="T T T"
Pt 2.2170 1.2800 2.4289
Pt 6.6510 3.8400 3.0129
Ba 0.0000 0.0000 0.0000
Cu 4.4340 2.5600 2.7209

(6)
4
Lattice="4.1584 0.0000 0.0000 2.0792 3.6013 0.0000 2.0792 1.2004 3.3953" Properties=species:S:1:pos:R:3 comment="LiS2F, PBEsol geometry, DFT meta-GGA SCAN" crystal_system=cubic e_form_raw_mev_per_atom=-39 polymorph_energy_ev_per_atom=0.0000 volume_a3_per_cell=51 pbc="T T T"
S 2.0792 1.2004 0.8488
S 6.2376 3.6013 2.5465
F 4.1584 2.4008 1.6977
Li 0.0000 0.0000 0.0000